[1]
This record from Alexandria describes a PBEsol-optimized structure of Li2MgTe. The functional is meta-GGA SCAN.

As for the energy above the most stable polymorph in this dataset: 0 meV/atom. The uncorrected formation energy is -0.50 eV per atom. The density of states at the Fermi level comes out at 0.193 states/eV/cell.

It has space group P4mm (No. 99), with a = 3.841 Å, b = 3.841 Å, c = 5.844 Å, α = 90.00°, β = 90.00° and γ = 90.00°. The asymmetric unit holds Li at (0.000, 0.000, 0.000), Li at (0.500, 0.500, 0.262), Mg at (0.000, 0.000, 0.518) and Te at (0.500, 0.500, 0.774).


[2]
This record from Alexandria describes a PBEsol-optimized structure of KRb2TlPt. The functional is meta-GGA SCAN.

The calculation puts the formation energy at 0.48 eV per atom. The density of states at the Fermi level comes out at 2.953 states/eV/cell.

It has space group P4/mmm (No. 123), with a = 6.395 Å, b = 6.395 Å, c = 5.345 Å, α = 90.00°, β = 90.00° and γ = 90.00°. The asymmetric unit holds K at (0.000, 0.000, 0.000), Rb at (0.000, 0.500, 0.000), Tl at (0.500, 0.500, 0.500) and Pt at (0.000, 0.000, 0.500).


[3]
This record from Alexandria describes a PBEsol-optimized structure of ZnCd2Os. The functional is meta-GGA SCAN.

The calculation puts the formation energy at 0.50 eV per atom. The density of states at the Fermi level comes out at 2.024 states/eV/cell.

It has space group P4/mmm (No. 123), with a = 2.817 Å, b = 2.817 Å, c = 8.455 Å, α = 90.00°, β = 90.00° and γ = 90.00°. The asymmetric unit holds Zn at (0.000, 0.000, 0.000), Cd at (0.500, 0.500, 0.254) and Os at (0.000, 0.000, 0.500).


[4]
This record from Alexandria describes a PBEsol-optimized structure of LiPb. The functional is meta-GGA SCAN.

The calculation puts the formation energy at -0.33 eV per atom. The density of states at the Fermi level comes out at 2.884 states/eV/cell.

It has space group Cmcm (No. 63), with a = 3.406 Å, b = 10.866 Å, c = 4.881 Å, α = 90.00°, β = 90.00° and γ = 90.00°. The asymmetric unit holds Li at (0.000, 0.128, 0.250) and Pb at (0.000, 0.396, 0.250).


[5]
This record from Alexandria describes a PBEsol-optimized structure of Na2LiTiF6. The functional is meta-GGA SCAN.

The uncorrected formation energy is -3.18 eV per atom. The density of states at the Fermi level comes out at 31.548 states/eV/cell.

It has space group Fm-3m (No. 225), with a = 7.806 Å, b = 7.806 Å, c = 7.806 Å, α = 90.00°, β = 90.00° and γ = 90.00°. The asymmetric unit holds Na at (0.250, 0.250, 0.250), Li at (0.000, 0.000, 0.000), Ti at (0.000, 0.000, 0.500) and F at (0.000, 0.000, 0.250).


[6]
This record from Alexandria describes a PBEsol-optimized structure of CaCo2Mo. The functional is meta-GGA SCAN.

The calculation puts the formation energy at 0.59 eV per atom. The density of states at the Fermi level comes out at 3.940 states/eV/cell.

It has space group Pm (No. 6), with a = 2.976 Å, b = 4.078 Å, c = 5.404 Å, α = 90.00°, β = 105.83° and γ = 90.00°. The asymmetric unit holds Ca at (0.000, 0.000, 0.000), Co at (0.609, 0.500, 0.221), Co at (0.741, 0.000, 0.488) and Mo at (0.277, 0.500, 0.558).


[7]
This record from Alexandria describes a PBEsol-optimized structure of La2TlPt. The functional is meta-GGA SCAN.

The calculation puts the formation energy at -0.95 eV per atom. As for the energy above the most stable polymorph in this dataset: 0 meV/atom. The density of states at the Fermi level comes out at 2.540 states/eV/cell.

It has space group P4/mmm (No. 123), with a = 3.621 Å, b = 3.621 Å, c = 8.104 Å, α = 90.00°, β = 90.00° and γ = 90.00°. The asymmetric unit holds La at (0.000, 0.000, 0.213), Tl at (0.500, 0.500, 0.500) and Pt at (0.500, 0.500, 0.000).


[8]
This record from Alexandria describes a PBEsol-optimized structure of Re8Ru. The functional is meta-GGA SCAN.

The calculation puts the formation energy at 0.05 eV per atom. The density of states at the Fermi level comes out at 13.986 states/eV/cell.

It has space group I4/mmm (No. 139), with a = 8.212 Å, b = 8.212 Å, c = 3.863 Å, α = 90.00°, β = 90.00° and γ = 90.00°. The asymmetric unit holds Re at (0.000, 0.331, 0.000), Re at (0.165, 0.165, 0.500) and Ru at (0.000, 0.000, 0.000).


[9]
This record from Alexandria describes a PBEsol-optimized structure of HfSc2CuAg. The functional is meta-GGA SCAN.

The calculation puts the formation energy at 0.45 eV per atom. The density of states at the Fermi level comes out at 3.645 states/eV/cell.

It has space group P4/mmm (No. 123), with a = 4.786 Å, b = 4.786 Å, c = 4.683 Å, α = 90.00°, β = 90.00° and γ = 90.00°. The asymmetric unit holds Hf at (0.000, 0.000, 0.000), Sc at (0.000, 0.500, 0.500), Cu at (0.500, 0.500, 0.500) and Ag at (0.500, 0.500, 0.000).


[10]
This record from Alexandria describes a PBEsol-optimized structure of SbRh3I. The functional is meta-GGA SCAN.

The uncorrected formation energy is 0.94 eV per atom. The density of states at the Fermi level comes out at 4.452 states/eV/cell.

It has space group Pm-3m (No. 221), with a = 4.818 Å, b = 4.818 Å, c = 4.818 Å, α = 90.00°, β = 90.00° and γ = 90.00°. The asymmetric unit holds Sb at (0.000, 0.000, 0.000), Rh at (0.000, 0.000, 0.500) and I at (0.500, 0.500, 0.500).


[11]
This record from Alexandria describes a PBEsol-optimized structure of Li6TeO6. The functional is meta-GGA SCAN.

The uncorrected formation energy is -1.93 eV per atom. The density of states at the Fermi level comes out at 0.000 states/eV/cell.

It has space group R-3 (No. 148, hexagonal axes), with a = 5.7494 Å, b = 5.7494 Å, c = 13.4628 Å, α = 90.00°, β = 90.00° and γ = 120.00°. The asymmetric unit holds Li at (0.0228, 0.6119, 0.3968), Te at (0.0000, 0.0000, 0.5000) and O at (0.0225, 0.7360, 0.5829).


[12]
This record from Alexandria describes a PBEsol-optimized structure of LiAgBr2. The functional is meta-GGA SCAN.

As for the energy above the most stable polymorph in this dataset: 0 meV/atom. The uncorrected formation energy is -1.03 eV per atom. The density of states at the Fermi level comes out at 0.000 states/eV/cell.

It has space group I-42d (No. 122), with a = 5.977 Å, b = 5.977 Å, c = 11.869 Å, α = 90.00°, β = 90.00° and γ = 90.00°. The asymmetric unit holds Li at (0.000, 0.000, 0.000), Ag at (0.000, 0.000, 0.500) and Br at (0.229, 0.250, 0.125).